1.
The following is a PBE-GGA calculation of an optimized crystal structure of CsHgGeSe2, from the Alexandria database.

Output
Formation energy without anion corrections in eV/atom: 1.091
Symmetry: P4/mmm, No. 123
Total magnetization in μB per cell: 0.00

The structure in extended XYZ format:
```
5
Lattice="5.976 0.000 0.000 0.000 5.976 0.000 0.000 0.000 6.360" Properties=species:S:1:pos:R:3 pbc="T T T"
Cs 0.000 0.000 0.000
Hg 2.988 2.988 3.180
Ge 0.000 0.000 3.180
Se 0.000 2.988 0.000
Se 2.988 0.000 0.000
```

---

2.
The following is a PBE-GGA calculation of an optimized crystal structure of CaSc2Ta, from the Alexandria database.

Output
Symmetry: Pmmm, No. 47
Formation energy in meV/atom: 587.6
Distance to the lowest polymorph of the same formula in kcal/mol of atoms: 8.570
Total magnetization in μB per cell: 0.00

The structure in extended XYZ format:
```
4
Lattice="3.275 0.000 0.000 0.000 5.297 0.000 0.000 0.000 5.569" Properties=species:S:1:pos:R:3 pbc="T T T"
Ca 0.000 0.000 0.000
Sc 0.000 2.649 2.785
Sc 1.637 2.649 0.000
Ta 1.637 0.000 2.785
```

---

3.
The following is a PBE-GGA calculation of an optimized crystal structure of RbTl2As, from the Alexandria database.

Output
Symmetry: Cmcm, No. 63
Formation energy in meV/atom: -203.5
Total magnetization in μB per cell: 0.00

The structure in extended XYZ format:
```
8
Lattice="2.323 -6.439 0.000 2.323 6.439 0.000 0.000 0.000 8.998" Properties=species:S:1:pos:R:3 pbc="T T T"
Rb 2.323 5.643 6.749
Rb 2.323 -5.643 2.250
Tl 2.323 1.868 4.983
Tl 2.323 1.868 8.514
Tl 2.323 -1.868 0.484
Tl 2.323 -1.868 4.015
As 2.323 3.571 2.250
As 2.323 -3.571 6.749
```

---

4.
The following is a PBE-GGA calculation of an optimized crystal structure of SnHg2HAu, from the Alexandria database.

Output
DFT total energy in eV per atom: -2.082
Symmetry: P4/mmm, No. 123
Total magnetization in μB per cell: 0.00

The structure in extended XYZ format:
```
5
Lattice="5.621 0.000 0.000 0.000 5.621 0.000 0.000 0.000 3.491" Properties=species:S:1:pos:R:3 pbc="T T T"
Sn 0.000 0.000 0.000
Hg 0.000 2.810 1.746
Hg 2.810 0.000 1.746
H 2.810 2.810 0.000
Au 2.810 2.810 1.746
```

---

5.
The following is a PBE-GGA calculation of an optimized crystal structure of Pm3Pr2HoEr6, from the Alexandria database.

Output
Symmetry: C2/m, No. 12
Formation energy in meV/atom: 15.7
Total magnetization in μB per cell: 0.00

The structure in extended XYZ format:
```
12
Lattice="3.104 -5.376 0.000 3.104 5.376 0.000 -2.062 0.000 11.590" Properties=species:S:1:pos:R:3 pbc="T T T"
Pm 0.000 0.000 0.000
Pm 3.104 1.794 0.000
Pm 3.104 -1.794 0.000
Pr 2.073 3.587 5.795
Pr 2.073 -3.587 5.795
Ho 2.073 0.000 5.795
Er 1.038 1.789 2.896
Er 0.010 0.000 8.699
Er 1.038 -1.789 2.896
Er 3.108 1.789 8.694
Er 4.136 0.000 2.891
Er 3.108 -1.789 8.694
```

---

6.
The following is a PBE-GGA calculation of an optimized crystal structure of BeSe3, from the Alexandria database.

Output
Formation energy without anion corrections in eV/atom: 0.253
Symmetry: Cmmm, No. 65
Distance to the lowest polymorph of the same formula in kcal/mol of atoms: 7.219
Total magnetization in μB per cell: 0.00

The structure in extended XYZ format:
```
4
Lattice="1.711 -2.302 0.000 1.711 2.302 0.000 0.000 0.000 10.917" Properties=species:S:1:pos:R:3 pbc="T T T"
Be 0.000 0.000 0.000
Se 0.000 0.000 5.458
Se 1.711 0.000 1.683
Se 1.711 0.000 9.234
```

---

7.
The following is a PBE-GGA calculation of an optimized crystal structure of TaTl2RuO, from the Alexandria database.

Output
Formation energy without anion corrections in eV/atom: 0.488
Symmetry: P4/mmm, No. 123
Total magnetization in μB per cell: 0.00

The structure in extended XYZ format:
```
5
Lattice="5.126 0.000 0.000 0.000 5.126 0.000 0.000 0.000 3.665" Properties=species:S:1:pos:R:3 pbc="T T T"
Ta 0.000 0.000 0.000
Tl 0.000 2.563 1.832
Tl 2.563 0.000 1.832
Ru 2.563 2.563 0.000
O 2.563 2.563 1.832
```

---

8.
The following is a PBE-GGA calculation of an optimized crystal structure of K2RhBr, from the Alexandria database.

Output
Formation energy without anion corrections in eV/atom: -0.157
Symmetry: I-42d, No. 122
Distance to the lowest polymorph of the same formula in kcal/mol of atoms: 0.290
Total magnetization in μB per cell: 0.00

The structure in extended XYZ format:
```
8
Lattice="-5.998 5.998 2.443 5.998 -5.998 2.443 5.998 5.998 -2.443" Properties=species:S:1:pos:R:3 pbc="T T T"
K 0.522 2.999 0.611
K -2.999 5.476 1.832
K -0.522 8.997 0.611
K 2.999 6.519 1.832
Rh 0.000 0.000 0.000
Rh 0.000 5.998 1.221
Br 5.998 0.000 1.221
Br 0.000 0.000 2.443
```

---

9.
The following is a PBE-GGA calculation of an optimized crystal structure of PmFeBr, from the Alexandria database.

Output
Formation energy without anion corrections in eV/atom: -0.884
Symmetry: R-3m, No. 166
Total magnetization in μB per cell: 2.29

The structure in extended XYZ format:
```
6
Lattice="1.984 1.146 11.716 -1.984 1.146 11.716 0.000 -2.291 11.716" Properties=species:S:1:pos:R:3 pbc="T T T"
Pm 0.000 0.000 2.028
Pm 0.000 0.000 33.120
Fe 0.000 0.000 11.761
Fe 0.000 0.000 23.388
Br 0.000 0.000 7.724
Br 0.000 0.000 27.424
```

---

10.
The following is a PBE-GGA calculation of an optimized crystal structure of Na2YCrAu, from the Alexandria database.

Output
Symmetry: P4/mmm, No. 123
Formation energy in meV/atom: 641.4
Total magnetization in μB per cell: 3.70

The structure in extended XYZ format:
```
5
Lattice="5.113 0.000 0.000 0.000 5.113 0.000 0.000 0.000 5.146" Properties=species:S:1:pos:R:3 pbc="T T T"
Na 0.000 2.556 0.000
Na 2.556 0.000 0.000
Y 0.000 0.000 2.573
Cr 2.556 2.556 0.000
Au 2.556 2.556 2.573
```

---

11.
The following is a PBE-GGA calculation of an optimized crystal structure of V3ReGe, from the Alexandria database.

Output
Symmetry: P2_1/m, No. 11
Formation energy in meV/atom: -244.3
Distance to the lowest polymorph of the same formula in kcal/mol of atoms: 0.000
Total magnetization in μB per cell: 0.00

The structure in extended XYZ format:
```
10
Lattice="6.684 0.000 0.000 0.000 3.094 0.000 -0.366 0.000 6.773" Properties=species:S:1:pos:R:3 pbc="T T T"
V 0.990 0.774 0.362
V 1.414 2.321 5.183
V 2.134 0.774 3.191
V 4.185 2.321 3.582
V 4.904 0.774 1.591
V 5.329 2.321 6.411
Re 0.200 2.321 2.354
Re 6.118 0.774 4.419
Ge 2.829 2.321 1.237
Ge 3.490 0.774 5.536
```

---

12.
The following is a PBE-GGA calculation of an optimized crystal structure of SrCdIn2Ir, from the Alexandria database.

Output
Symmetry: P4/mmm, No. 123
Formation energy in meV/atom: -213.9
Distance to the lowest polymorph of the same formula in kcal/mol of atoms: 0.000
Total magnetization in μB per cell: 0.00

The structure in extended XYZ format:
```
5
Lattice="5.172 0.000 0.000 0.000 5.172 0.000 0.000 0.000 5.297" Properties=species:S:1:pos:R:3 pbc="T T T"
Sr 0.000 0.000 0.000
Cd 2.586 2.586 0.000
In 0.000 2.586 2.649
In 2.586 0.000 2.649
Ir 2.586 2.586 2.649
```

---

13.
The following is a PBE-GGA calculation of an optimized crystal structure of SbOs4Pt, from the Alexandria database.

Output
Formation energy without anion corrections in eV/atom: 0.937
Symmetry: F-43m, No. 216
Total magnetization in μB per cell: 0.00

The structure in extended XYZ format:
```
6
Lattice="0.000 3.705 3.705 3.705 0.000 3.705 3.705 3.705 0.000" Properties=species:S:1:pos:R:3 pbc="T T T"
Sb 0.000 0.000 0.000
Os 4.624 2.785 2.785
Os 2.785 4.624 2.785
Os 2.785 2.785 4.624
Os 4.624 4.624 4.624
Pt 1.852 1.852 1.852
```

---

14.
The following is a PBE-GGA calculation of an optimized crystal structure of SrCaU2O8, from the Alexandria database.

Output
Formation energy without anion corrections in eV/atom: -3.215
Symmetry: R-3m, No. 166
Total magnetization in μB per cell: 0.00

The structure in extended XYZ format:
```
12
Lattice="1.960 1.132 12.190 -1.960 1.132 12.190 0.000 -2.263 12.190" Properties=species:S:1:pos:R:3 pbc="T T T"
Sr 0.000 0.000 0.000
Ca 0.000 0.000 18.285
U 0.000 0.000 9.050
U 0.000 0.000 27.520
O 0.000 0.000 2.642
O 0.000 0.000 7.068
O 0.000 0.000 11.043
O 0.000 0.000 15.844
O 0.000 0.000 20.726
O 0.000 0.000 25.526
O 0.000 0.000 29.502
O 0.000 0.000 33.928
```

---

15.
The following is a PBE-GGA calculation of an optimized crystal structure of Tb12Dy5Hg2, from the Alexandria database.

Output
Symmetry: C2/m, No. 12
Formation energy in meV/atom: 74.2
Total magnetization in μB per cell: 0.00

The structure in extended XYZ format:
```
19
Lattice="8.334 -4.290 0.000 8.334 4.290 0.000 -1.636 0.000 8.478" Properties=species:S:1:pos:R:3 pbc="T T T"
Tb 0.064 0.000 1.616
Tb 4.220 1.692 6.775
Tb 5.845 1.738 1.965
Tb 9.187 1.738 6.512
Tb 6.242 0.000 5.018
Tb 10.812 1.692 1.702
Tb 4.220 -1.692 6.775
Tb 8.790 0.000 3.460
Tb 5.845 -1.738 1.965
Tb 9.187 -1.738 6.512
Tb 10.812 -1.692 1.702
Tb 14.967 0.000 6.862
Dy 3.429 0.000 0.152
Dy 2.715 0.000 4.108
Dy 8.334 0.000 0.000
Dy 12.317 0.000 4.370
Dy 11.602 0.000 8.326
Hg 7.516 2.846 4.239
Hg 7.516 -2.846 4.239
```

---

16.
The following is a PBE-GGA calculation of an optimized crystal structure of YBeOsSe2, from the Alexandria database.

Output
Formation energy without anion corrections in eV/atom: -0.052
Symmetry: P4/mmm, No. 123
Total magnetization in μB per cell: 0.00

The structure in extended XYZ format:
```
5
Lattice="4.685 0.000 0.000 0.000 4.685 0.000 0.000 0.000 4.153" Properties=species:S:1:pos:R:3 pbc="T T T"
Y 0.000 0.000 0.000
Be 2.342 2.342 2.077
Os 2.342 2.342 0.000
Se 0.000 2.342 2.077
Se 2.342 0.000 2.077
```

---

17.
The following is a PBE-GGA calculation of an optimized crystal structure of YInAgS2, from the Alexandria database.

Output
Formation energy without anion corrections in eV/atom: -0.042
Symmetry: P4/mmm, No. 123
Total magnetization in μB per cell: 0.00

The structure in extended XYZ format:
```
5
Lattice="5.015 0.000 0.000 0.000 5.015 0.000 0.000 0.000 5.125" Properties=species:S:1:pos:R:3 pbc="T T T"
Y 0.000 0.000 0.000
In 2.508 2.508 2.562
Ag 2.508 2.508 0.000
S 0.000 2.508 2.562
S 2.508 0.000 2.562
```

---

18.
The following is a PBE-GGA calculation of an optimized crystal structure of EuScAlAg, from the Alexandria database.

Output
Symmetry: F-43m, No. 216
Formation energy in meV/atom: -206.1
Total magnetization in μB per cell: 6.81

The structure in extended XYZ format:
```
4
Lattice="0.000 3.612 3.612 3.612 0.000 3.612 3.612 3.612 0.000" Properties=species:S:1:pos:R:3 pbc="T T T"
Eu 0.000 0.000 0.000
Sc 3.612 3.612 3.612
Al 5.418 5.418 5.418
Ag 1.806 1.806 1.806
```

---

19.
The following is a PBE-GGA calculation of an optimized crystal structure of Fe2AuCl, from the Alexandria database.

Output
Formation energy without anion corrections in eV/atom: 0.238
Symmetry: Cm, No. 8
Distance to the lowest polymorph of the same formula in kcal/mol of atoms: 3.283
Total magnetization in μB per cell: 5.91

The structure in extended XYZ format:
```
4
Lattice="3.994 -1.498 0.000 3.994 1.498 0.000 -1.088 0.000 6.700" Properties=species:S:1:pos:R:3 pbc="T T T"
Fe 0.000 0.000 0.000
Fe 5.639 0.000 1.011
Au 1.148 0.000 5.441
Cl 1.506 0.000 2.778
```

---

20.
The following is a PBE-GGA calculation of an optimized crystal structure of ThMg6, from the Alexandria database.

Output
Symmetry: Pnma, No. 62
Formation energy in meV/atom: 59.5
Distance to the lowest polymorph of the same formula in kcal/mol of atoms: 0.000
Total magnetization in μB per cell: 0.00

The structure in extended XYZ format:
```
28
Lattice="9.726 0.000 0.000 0.000 5.847 0.000 0.000 0.000 12.083" Properties=species:S:1:pos:R:3 pbc="T T T"
Th 2.386 1.462 0.800
Th 2.477 4.385 6.842
Th 7.249 1.462 5.242
Th 7.340 4.385 11.283
Mg 0.487 4.385 1.015
Mg 0.597 0.056 3.686
Mg 0.597 2.867 3.686
Mg 0.864 1.462 6.268
Mg 1.433 4.385 10.302
Mg 1.911 1.462 9.072
Mg 2.952 4.385 3.030
Mg 3.429 1.462 4.260
Mg 3.999 4.385 0.227
Mg 4.265 2.980 9.727
Mg 4.265 5.791 9.727
Mg 4.376 1.462 7.056
Mg 5.349 4.385 5.027
Mg 5.460 0.056 2.356
Mg 5.460 2.867 2.356
Mg 5.727 1.462 11.857
Mg 6.296 4.385 7.823
Mg 6.773 1.462 9.053
Mg 7.815 4.385 3.012
Mg 8.292 1.462 1.782
Mg 8.862 4.385 5.815
Mg 9.128 2.980 8.397
Mg 9.128 5.791 8.397
Mg 9.239 1.462 11.069
```